Compound: TbNd3Al
Source: Alexandria
Functional: PBE-GGA
Structure: relaxed

Properties
- Distance to the lowest polymorph of the same formula: 0.000 eV/atom
- Symmetry: No. 12
- VASP energy: -46.52 eV/cell
- D(E_F): 6.32 states/eV/f.u.
- Magnetization: 0.00 μB per formula unit

a = 3.683 Å, b = 6.931 Å, c = 12.623 Å
α = 84.40°, β = 90.00°, γ = 74.60°
Sites, in units of the cell vectors:
1 Nd 0.964 0.073 0.804
2 Al 0.551 0.899 0.618
3 Nd 0.363 0.276 0.019
4 Nd 0.637 0.724 0.981
5 Tb 0.216 0.567 0.746
6 Nd 0.036 0.927 0.196
7 Tb 0.784 0.433 0.254
8 Nd 0.857 0.286 0.554
9 Al 0.449 0.101 0.382
10 Nd 0.143 0.714 0.446